First-principles (GGA-PBE) data for a geometry-optimized CsB2PbF8 structure, as listed in Alexandria.

The structure in CIF format:
```
data_CsB2PbF8
_chemical_formula_sum 'Cs3 B6 Pb3 F24'
_cell_length_a 4.9416
_cell_length_b 4.9416
_cell_length_c 30.9353
_cell_angle_alpha 90.00
_cell_angle_beta 90.00
_cell_angle_gamma 120.00
_symmetry_space_group_name_H-M 'R -3'
_symmetry_Int_Tables_number 148
_symmetry_space_group_name_Hall '-R 3'
loop_
_atom_site_label
_atom_site_fract_x
_atom_site_fract_y
_atom_site_fract_z
Cs1 0.0000 0.0000 0.0000
B1 0.0000 0.0000 0.2526
Pb1 0.0000 0.0000 0.5000
F1 0.0000 0.0000 0.2991
F2 0.0200 0.7389 0.2384
```

Results
DOS at the Fermi energy	4.91	states/eV per cell
calculated volume	218.1	Å³/f.u.
final energy	-0.39775	Ry per atom